Entry from Alexandria: crystalline KAgCl2 at its relaxed geometry (GGA-PBEsol).

E_form (uncorrected) ... -1.123 eV per atom
Calculated density ... 3.5 g/cm3

Lattice parameters (Å, degrees): 3.895 5.137 5.137 90.00 90.00 90.00
Fractional coordinates of all 4 atoms:
Ag: 0.999 0.500 0.500
Cl: 0.026 0.000 0.500
K: 0.500 0.000 0.000
Cl: 0.975 0.500 0.000